# 1
5
Lattice="4.8721 0.0000 0.0000 0.0000 4.8721 0.0000 0.0000 0.0000 5.1769" Properties=species:S:1:pos:R:3 comment="SrZn2CdRu PBE optimized geometry" sg="P4/mmm (123)" formation_enthalpy_0k_mev_per_atom=-37 dft_energy_ev_per_atom=-2.9209 dos_ef_per_ev_atom=0.53 m_tot_mub_per_cell=0.00 pbc="T T T"
Sr 0.0000 0.0000 0.0000
Zn 0.0000 2.4361 2.5885
Zn 2.4361 0.0000 2.5885
Cd 2.4361 2.4361 0.0000
Ru 2.4361 2.4361 2.5885

# 2
8
Lattice="4.5978 0.0000 0.0000 0.0000 4.5978 0.0000 0.0000 0.0000 10.1085" Properties=species:S:1:pos:R:3 comment="AgTePbCl PBE optimized geometry" sg="P4/nmm (129)" dft_energy_ev_per_atom=-3.3747 m_tot_mub_per_cell=0.00 pbc="T T T"
Ag 1.1494 3.4483 0.0000
Ag 3.4483 1.1494 0.0000
Te 1.1494 1.1494 1.8318
Te 3.4483 3.4483 8.2767
Pb 1.1494 1.1494 6.9425
Pb 3.4483 3.4483 3.1660
Cl 1.1494 3.4483 5.0543
Cl 3.4483 1.1494 5.0543

# 3
10
Lattice="7.6793 0.0000 0.0000 0.0000 7.6793 0.0000 0.0000 0.0000 4.3080" Properties=species:S:1:pos:R:3 comment="CaTh2Si2 PBE optimized geometry" sg="P4/mbm (127)" dft_energy_ev_per_atom=-6.1087 dos_ef_per_ev_atom=0.77 m_tot_mub_per_cell=0.00 pbc="T T T"
Ca 0.0000 0.0000 0.0000
Ca 3.8397 3.8397 0.0000
Th 1.3640 2.4756 2.1540
Th 2.4756 6.3153 2.1540
Th 5.2037 1.3640 2.1540
Th 6.3153 5.2037 2.1540
Si 0.8789 4.7185 0.0000
Si 2.9608 0.8789 0.0000
Si 4.7185 6.8005 0.0000
Si 6.8005 2.9608 0.0000

# 4
5
Lattice="4.9091 0.0000 0.0000 0.0000 4.9091 0.0000 0.0000 0.0000 4.9091" Properties=species:S:1:pos:R:3 comment="Hf3TcMo PBE optimized geometry" relative_energy_ev_per_atom=0.273 sg="Pm-3m (221)" formation_enthalpy_0k_mev_per_atom=1181 dft_energy_ev_per_atom=-9.0305 dos_ef_per_ev_atom=0.98 m_tot_mub_per_cell=1.17 pbc="T T T"
Hf 0.0000 0.0000 2.4546
Hf 0.0000 2.4546 0.0000
Hf 2.4546 0.0000 0.0000
Tc 2.4546 2.4546 2.4546
Mo 0.0000 0.0000 0.0000

# 5
16
Lattice="5.8678 0.0000 0.0000 0.0000 5.8678 0.0000 0.0000 0.0000 5.0720" Properties=species:S:1:pos:R:3 comment="LiNbB2 PBE optimized geometry" relative_energy_ev_per_atom=0.080 sg="I-42d (122)" formation_enthalpy_0k_mev_per_atom=485 dft_energy_ev_per_atom=-5.8495 dos_ef_per_ev_atom=0.01 m_tot_mub_per_cell=0.00 pbc="T T T"
Li 0.0000 0.0000 0.0000
Li 0.0000 2.9339 1.2680
Li 2.9339 0.0000 3.8040
Li 2.9339 2.9339 2.5360
Nb 0.0000 0.0000 2.5360
Nb 0.0000 2.9339 3.8040
Nb 2.9339 0.0000 1.2680
Nb 2.9339 2.9339 0.0000
B 1.3168 1.4669 0.6340
B 1.4669 4.2507 1.9020
B 1.4669 4.5510 4.4380
B 1.6171 1.4669 3.1700
B 4.2507 4.4008 3.1700
B 4.4008 1.3168 4.4380
B 4.4008 1.6171 1.9020
B 4.5510 4.4008 0.6340

# 6
5
Lattice="5.1304 0.0000 0.0000 0.0000 5.1304 0.0000 0.0000 0.0000 5.3266" Properties=species:S:1:pos:R:3 comment="HfSb2SI PBE optimized geometry" relative_energy_ev_per_atom=0.248 sg="P4/mmm (123)" dft_energy_ev_per_atom=-4.0716 dos_ef_per_ev_atom=0.58 m_tot_mub_per_cell=0.00 pbc="T T T"
Hf 0.0000 0.0000 0.0000
Sb 0.0000 2.5652 2.6633
Sb 2.5652 0.0000 2.6633
S 2.5652 2.5652 2.6633
I 2.5652 2.5652 0.0000

# 7
3
Lattice="4.3525 0.0000 0.0000 -2.1762 3.7693 0.0000 0.0000 0.0000 2.8796" Properties=species:S:1:pos:R:3 comment="HfNiPd PBE optimized geometry" sg="P3m1 (156)" formation_enthalpy_0k_mev_per_atom=-412 dft_energy_ev_per_atom=-7.3881 dos_ef_per_ev_atom=0.67 m_tot_mub_per_cell=0.00 pbc="T T T"
Hf 0.0000 0.0000 0.0000
Ni 0.0000 2.5129 0.8833
Pd 2.1762 1.2564 1.7991

# 8
16
Lattice="4.4502 0.0000 0.0000 0.0000 4.4502 0.0000 0.0000 0.0000 19.4538" Properties=species:S:1:pos:R:3 comment="Na2AlS PBE optimized geometry" relative_energy_ev_per_atom=0.038 sg="I-42d (122)" dft_energy_ev_per_atom=-2.6959 dos_ef_per_ev_atom=0.42 m_tot_mub_per_cell=0.00 pbc="T T T"
Na 0.9507 1.1126 2.4317
Na 1.1126 3.1759 7.2952
Na 1.1126 3.4995 17.0221
Na 1.2744 1.1126 12.1587
Na 3.1759 3.3377 12.1587
Na 3.3377 0.9507 17.0221
Na 3.3377 1.2744 7.2952
Na 3.4995 3.3377 2.4317
Al 0.0000 0.0000 9.7269
Al 0.0000 2.2251 14.5904
Al 2.2251 0.0000 4.8635
Al 2.2251 2.2251 0.0000
S 0.0000 0.0000 0.0000
S 0.0000 2.2251 4.8635
S 2.2251 0.0000 14.5904
S 2.2251 2.2251 9.7269